First-principles (PBE-GGA) data for crystalline CsHfTi3 at its relaxed geometry, as listed in Alexandria.

Space group: Pm-3m
DFT formation energy: 1.41 eV/atom

Cell: 5.2497 5.2497 5.2497 Å, 90.00 90.00 90.00°
Each line ends with the local moment (μB).
Sites, in units of the cell vectors:
Ti: 0.0000 0.5000 0.0000  0.79
Ti: 0.0000 0.0000 0.5000  0.66
Hf: 0.0000 0.0000 0.0000  0.16
Ti: 0.5000 0.0000 0.0000  0.98
Cs: 0.5000 0.5000 0.5000  0.06